A relaxed structure of LaCeNpN3, computed with PBE.

Cell: 7.386 3.706 8.711 Å, 90.00 97.42 90.00°
Space group P2_1/m (No. 11)
One atom of each set of equivalent atoms:
La 0.161 0.250 0.139 (multiplicity 2)
Ce 0.369 0.750 0.845 (multiplicity 2)
Np 0.055 0.250 0.590 (multiplicity 2)
N 0.107 0.250 0.847 (multiplicity 2)
N 0.214 0.750 0.589 (multiplicity 2)
N 0.398 0.750 0.110 (multiplicity 2)

E_tot	-109.75	eV per cell
formation energy (no corrections)	-1016	meV/atom
spin magnetization	0.313	μB per atom
V	19.7	Å³/atom